# GGA-PBE BaZr3Ru, relaxed
# **ΔE to the lowest computed polymorph**: 0 meV/atom
# **Total magnetization**: 0.00 μB per cell
# **Formation energy from the elements**: 254 meV per atom
data_BaZr3Ru
_cell_length_a 5.200
_cell_length_b 5.200
_cell_length_c 5.200
_cell_angle_alpha 90.00
_cell_angle_beta 90.00
_cell_angle_gamma 90.00
_space_group_name_H-M_alt 'P m -3 m'
_space_group_IT_number 221
_space_group_name_Hall '-P 4 2 3'
loop_
_atom_site_label
_atom_site_type_symbol
_atom_site_fract_x
_atom_site_fract_y
_atom_site_fract_z
_atom_site_occupancy
Ba1 Ba 0.000 0.000 0.000 1
Zr1 Zr 0.000 0.500 0.500 1
Ru1 Ru 0.500 0.500 0.500 1

# GGA-PBE Y2Ti2CdRh5, relaxed
# **Total magnetization**: 0.00 μB per cell
# **Formation energy from the elements**: -567 meV per atom
data_Y2Ti2CdRh5
_cell_length_a 10.095
_cell_length_b 10.095
_cell_length_c 3.585
_cell_angle_alpha 90.00
_cell_angle_beta 90.00
_cell_angle_gamma 90.00
_space_group_name_H-M_alt 'P 4/m b m'
_space_group_IT_number 127
_space_group_name_Hall '-P 4 2ab'
loop_
_atom_site_label
_atom_site_type_symbol
_atom_site_fract_x
_atom_site_fract_y
_atom_site_fract_z
_atom_site_occupancy
Y1 Y 0.180 0.320 0.000 1
Ti1 Ti 0.119 0.619 0.000 1
Cd1 Cd 0.000 0.000 0.000 1
Rh1 Rh 0.000 0.500 0.500 1
Rh2 Rh 0.065 0.787 0.500 1

# GGA-PBE Dy5Er5In2, relaxed
# **Total magnetization**: 0.00 μB per cell
# **Formation energy from the elements**: -40 meV per atom
data_Dy5Er5In2
_cell_length_a 11.130
_cell_length_b 5.106
_cell_length_c 12.863
_cell_angle_alpha 90.00
_cell_angle_beta 91.29
_cell_angle_gamma 90.00
_space_group_name_H-M_alt 'C 1 2/m 1'
_space_group_IT_number 12
loop_
_space_group_symop_operation_xyz
'x,y,z'
'-x,-y,-z'
'-x,y,-z'
'x,-y,z'
'x+1/2,y+1/2,z'
'-x+1/2,-y+1/2,-z'
'-x+1/2,y+1/2,-z'
'x+1/2,-y+1/2,z'
loop_
_atom_site_label
_atom_site_type_symbol
_atom_site_fract_x
_atom_site_fract_y
_atom_site_fract_z
_atom_site_occupancy
Dy1 Dy 0.000 0.000 0.000 1
Dy2 Dy 0.094 0.500 0.821 1
Dy3 Dy 0.167 0.500 0.539 1
Er1 Er 0.000 0.000 0.500 1
Er2 Er 0.113 0.000 0.262 1
Er3 Er 0.201 0.500 0.080 1
In1 In 0.198 0.000 0.688 1

# GGA-PBE RbNp3Ag2Te6, relaxed
# **Total magnetization**: 24.00 μB per cell
# **Raw formation energy**: -48 kJ per mole of atoms
data_RbNp3Ag2Te6
_cell_length_a 20.098
_cell_length_b 4.585
_cell_length_c 9.631
_cell_angle_alpha 90.00
_cell_angle_beta 104.95
_cell_angle_gamma 90.00
_space_group_name_H-M_alt 'C 1 2/m 1'
_space_group_IT_number 12
loop_
_space_group_symop_operation_xyz
'x,y,z'
'-x,-y,-z'
'-x,y,-z'
'x,-y,z'
'x+1/2,y+1/2,z'
'-x+1/2,-y+1/2,-z'
'-x+1/2,y+1/2,-z'
'x+1/2,-y+1/2,z'
loop_
_atom_site_label
_atom_site_type_symbol
_atom_site_fract_x
_atom_site_fract_y
_atom_site_fract_z
_atom_site_occupancy
Rb1 Rb 0.000 0.000 0.000 1
Np1 Np 0.000 0.000 0.500 1
Np2 Np 0.158 0.500 0.834 1
Ag1 Ag 0.129 0.500 0.187 1
Te1 Te 0.007 0.500 0.282 1
Te2 Te 0.157 0.000 0.620 1
Te3 Te 0.180 0.000 0.077 1

# GGA-PBE Na2In4Sn3, relaxed
# **ΔE to the lowest computed polymorph**: 4 meV/atom
# **Total magnetization**: 0.00 μB per cell
# **Formation energy from the elements**: -55 meV per atom
data_Na2In4Sn3
_cell_length_a 6.571
_cell_length_b 16.467
_cell_length_c 9.729
_cell_angle_alpha 90.00
_cell_angle_beta 90.00
_cell_angle_gamma 90.00
_space_group_name_H-M_alt 'C m c e'
_space_group_IT_number 64
_space_group_name_Hall '-C 2ac 2'
loop_
_atom_site_label
_atom_site_type_symbol
_atom_site_fract_x
_atom_site_fract_y
_atom_site_fract_z
_atom_site_occupancy
Na1 Na 0.000 0.104 0.073 1
In1 In 0.000 0.184 0.483 1
In2 In 0.250 0.055 0.750 1
Sn1 Sn 0.000 0.000 0.500 1
Sn2 Sn 0.250 0.237 0.750 1

# GGA-PBE LaZn3Pd3, relaxed
# **Total magnetization**: 0.00 μB per cell
# **Formation energy from the elements**: -507 meV per atom
data_LaZn3Pd3
_cell_length_a 6.7987
_cell_length_b 6.7987
_cell_length_c 19.2882
_cell_angle_alpha 90.00
_cell_angle_beta 90.00
_cell_angle_gamma 120.00
_space_group_name_H-M_alt 'R -3'
_space_group_IT_number 148
_space_group_name_Hall '-R 3'
loop_
_atom_site_label
_atom_site_type_symbol
_atom_site_fract_x
_atom_site_fract_y
_atom_site_fract_z
_atom_site_occupancy
La1 La 0.0000 0.0000 0.1546 1
Zn1 Zn 0.0547 0.2746 0.6996 1
Pd1 Pd 0.0024 0.7643 0.4344 1

# GGA-PBE Sm2Th3Ru2, relaxed
# **Total magnetization**: 0.00 μB per cell
# **Formation energy from the elements**: -317 meV per atom
data_Sm2Th3Ru2
_cell_length_a 11.887
_cell_length_b 3.870
_cell_length_c 8.965
_cell_angle_alpha 90.00
_cell_angle_beta 110.39
_cell_angle_gamma 90.00
_space_group_name_H-M_alt 'C 1 2/m 1'
_space_group_IT_number 12
loop_
_space_group_symop_operation_xyz
'x,y,z'
'-x,-y,-z'
'-x,y,-z'
'x,-y,z'
'x+1/2,y+1/2,z'
'-x+1/2,-y+1/2,-z'
'-x+1/2,y+1/2,-z'
'x+1/2,-y+1/2,z'
loop_
_atom_site_label
_atom_site_type_symbol
_atom_site_fract_x
_atom_site_fract_y
_atom_site_fract_z
_atom_site_occupancy
Sm1 Sm 0.163 0.000 0.298 1
Th1 Th 0.000 0.500 0.500 1
Th2 Th 0.122 0.500 0.930 1
Ru1 Ru 0.135 0.000 0.712 1

# GGA-PBE Sc2CrRe, relaxed
# **ΔE to the lowest computed polymorph**: 0 meV/atom
# **Total magnetization**: 0.00 μB per cell
# **Formation energy from the elements**: -17 meV per atom
data_Sc2CrRe
_cell_length_a 3.062
_cell_length_b 3.062
_cell_length_c 7.723
_cell_angle_alpha 90.00
_cell_angle_beta 90.00
_cell_angle_gamma 90.00
_space_group_name_H-M_alt 'P 4 m m'
_space_group_IT_number 99
loop_
_space_group_symop_operation_xyz
'x,y,z'
'-y,x,z'
'-x,-y,z'
'y,-x,z'
'-x,y,z'
'y,x,z'
'x,-y,z'
'-y,-x,z'
loop_
_atom_site_label
_atom_site_type_symbol
_atom_site_fract_x
_atom_site_fract_y
_atom_site_fract_z
_atom_site_occupancy
Sc1 Sc 0.000 0.000 0.000 1
Sc2 Sc 0.500 0.500 0.360 1
Cr1 Cr 0.000 0.000 0.590 1
Re1 Re 0.500 0.500 0.760 1

# GGA-PBE NaTe2Pt, relaxed
# **ΔE to the lowest computed polymorph**: 518 meV/atom
# **Total magnetization**: 0.00 μB per cell
# **Raw formation energy**: 5 kJ per mole of atoms
data_NaTe2Pt
_cell_length_a 3.3733
_cell_length_b 3.3733
_cell_length_c 30.5961
_cell_angle_alpha 90.00
_cell_angle_beta 90.00
_cell_angle_gamma 120.00
_space_group_name_H-M_alt 'R -3 m'
_space_group_IT_number 166
_space_group_name_Hall '-R 3 2"'
loop_
_atom_site_label
_atom_site_type_symbol
_atom_site_fract_x
_atom_site_fract_y
_atom_site_fract_z
_atom_site_occupancy
Na1 Na 0.0000 0.0000 0.0000 1
Te1 Te 0.0000 0.0000 0.4165 1
Pt1 Pt 0.0000 0.0000 0.5000 1

# GGA-PBE LiGdPdAu, relaxed
# **Total magnetization**: 29.07 μB per cell
# **Formation energy from the elements**: -657 meV per atom
data_LiGdPdAu
_cell_length_a 6.836
_cell_length_b 6.836
_cell_length_c 6.836
_cell_angle_alpha 90.00
_cell_angle_beta 90.00
_cell_angle_gamma 90.00
_space_group_name_H-M_alt 'F -4 3 m'
_space_group_IT_number 216
_space_group_name_Hall 'F -4 2 3'
loop_
_atom_site_label
_atom_site_type_symbol
_atom_site_fract_x
_atom_site_fract_y
_atom_site_fract_z
_atom_site_occupancy
Li1 Li 0.000 0.000 0.000 1
Gd1 Gd 0.000 0.000 0.500 1
Pd1 Pd 0.250 0.250 0.750 1
Au1 Au 0.250 0.250 0.250 1

# GGA-PBE Pr4Sm2HoSc, relaxed
# **Total magnetization**: 0.00 μB per cell
# **Formation energy from the elements**: 29 meV per atom
data_Pr4Sm2HoSc
_cell_length_a 5.132
_cell_length_b 5.155
_cell_length_c 10.070
_cell_angle_alpha 90.00
_cell_angle_beta 90.00
_cell_angle_gamma 90.00
_space_group_name_H-M_alt 'P m m m'
_space_group_IT_number 47
loop_
_space_group_symop_operation_xyz
'x,y,z'
'-x,-y,-z'
'-x,-y,z'
'x,y,-z'
'x,-y,-z'
'-x,y,z'
'-x,y,-z'
'x,-y,z'
loop_
_atom_site_label
_atom_site_type_symbol
_atom_site_fract_x
_atom_site_fract_y
_atom_site_fract_z
_atom_site_occupancy
Pr1 Pr 0.000 0.000 0.245 1
Pr2 Pr 0.500 0.500 0.246 1
Sm1 Sm 0.000 0.500 0.000 1
Sm2 Sm 0.500 0.000 0.500 1
Ho1 Ho 0.000 0.500 0.500 1
Sc1 Sc 0.500 0.000 0.000 1

# GGA-PBE MnMoW, relaxed
# **ΔE to the lowest computed polymorph**: 62 meV/atom
# **Total magnetization**: 1.39 μB per cell
# **Formation energy from the elements**: 151 meV per atom
data_MnMoW
_cell_length_a 4.3565
_cell_length_b 4.3565
_cell_length_c 2.6719
_cell_angle_alpha 90.00
_cell_angle_beta 90.00
_cell_angle_gamma 120.00
_space_group_name_H-M_alt 'P 3 m 1'
_space_group_IT_number 156
loop_
_space_group_symop_operation_xyz
'x,y,z'
'-y,x-y,z'
'-x+y,-x,z'
'-y,-x,z'
'-x+y,y,z'
'x,x-y,z'
loop_
_atom_site_label
_atom_site_type_symbol
_atom_site_fract_x
_atom_site_fract_y
_atom_site_fract_z
_atom_site_occupancy
Mn1 Mn 0.0000 0.0000 0.0000 1
Mo1 Mo 0.3333 0.6667 0.3380 1
W1 W 0.6667 0.3333 0.6718 1

# GGA-PBE K2CoAs, relaxed
# **Total magnetization**: 0.74 μB per cell
# **Formation energy from the elements**: 106 meV per atom
data_K2CoAs
_cell_length_a 4.395
_cell_length_b 5.120
_cell_length_c 8.033
_cell_angle_alpha 90.00
_cell_angle_beta 93.24
_cell_angle_gamma 90.00
_space_group_name_H-M_alt 'P 1 2/m 1'
_space_group_IT_number 10
loop_
_space_group_symop_operation_xyz
'x,y,z'
'-x,-y,-z'
'-x,y,-z'
'x,-y,z'
loop_
_atom_site_label
_atom_site_type_symbol
_atom_site_fract_x
_atom_site_fract_y
_atom_site_fract_z
_atom_site_occupancy
K1 K 0.214 0.000 0.219 1
Co1 Co 0.000 0.500 0.000 1
As1 As 0.500 0.500 0.000 1

# GGA-PBE LiEu2Te, relaxed
# **ΔE to the lowest computed polymorph**: 0 meV/atom
# **Total magnetization**: 14.80 μB per cell
# **Raw formation energy**: -70 kJ per mole of atoms
data_LiEu2Te
_cell_length_a 4.103
_cell_length_b 4.103
_cell_length_c 7.547
_cell_angle_alpha 90.00
_cell_angle_beta 90.00
_cell_angle_gamma 90.00
_space_group_name_H-M_alt 'P 4/m m m'
_space_group_IT_number 123
_space_group_name_Hall '-P 4 2'
loop_
_atom_site_label
_atom_site_type_symbol
_atom_site_fract_x
_atom_site_fract_y
_atom_site_fract_z
_atom_site_occupancy
Li1 Li 0.000 0.000 0.000 1
Eu1 Eu 0.500 0.500 0.264 1
Te1 Te 0.000 0.000 0.500 1

# GGA-PBE Sr3Pm2TaAs6, relaxed
# **Total magnetization**: 0.00 μB per cell
# **Formation energy from the elements**: -1057 meV per atom
data_Sr3Pm2TaAs6
_cell_length_a 7.250
_cell_length_b 12.583
_cell_length_c 7.556
_cell_angle_alpha 90.00
_cell_angle_beta 108.92
_cell_angle_gamma 90.00
_space_group_name_H-M_alt 'C 1 2/m 1'
_space_group_IT_number 12
loop_
_space_group_symop_operation_xyz
'x,y,z'
'-x,-y,-z'
'-x,y,-z'
'x,-y,z'
'x+1/2,y+1/2,z'
'-x+1/2,-y+1/2,-z'
'-x+1/2,y+1/2,-z'
'x+1/2,-y+1/2,z'
loop_
_atom_site_label
_atom_site_type_symbol
_atom_site_fract_x
_atom_site_fract_y
_atom_site_fract_z
_atom_site_occupancy
Sr1 Sr 0.000 0.000 0.000 1
Sr2 Sr 0.000 0.327 0.000 1
Pm1 Pm 0.000 0.165 0.500 1
Ta1 Ta 0.000 0.500 0.500 1
As1 As 0.225 0.347 0.718 1
As2 As 0.230 0.500 0.280 1

# GGA-PBE MgZr2Se, relaxed
# **ΔE to the lowest computed polymorph**: 352 meV/atom
# **Total magnetization**: 0.00 μB per cell
# **Raw formation energy**: -12 kJ per mole of atoms
data_MgZr2Se
_cell_length_a 6.909
_cell_length_b 6.909
_cell_length_c 6.909
_cell_angle_alpha 90.00
_cell_angle_beta 90.00
_cell_angle_gamma 90.00
_space_group_name_H-M_alt 'F m -3 m'
_space_group_IT_number 225
_space_group_name_Hall '-F 4 2 3'
loop_
_atom_site_label
_atom_site_type_symbol
_atom_site_fract_x
_atom_site_fract_y
_atom_site_fract_z
_atom_site_occupancy
Mg1 Mg 0.000 0.000 0.000 1
Zr1 Zr 0.250 0.250 0.250 1
Se1 Se 0.000 0.000 0.500 1

# GGA-PBE In2NiRu, relaxed
# **Total magnetization**: 1.19 μB per cell
# **Formation energy from the elements**: 77 meV per atom
data_In2NiRu
_cell_length_a 10.010
_cell_length_b 3.108
_cell_length_c 4.577
_cell_angle_alpha 90.00
_cell_angle_beta 108.92
_cell_angle_gamma 90.00
_space_group_name_H-M_alt 'C 1 m 1'
_space_group_IT_number 8
loop_
_space_group_symop_operation_xyz
'x,y,z'
'x,-y,z'
'x+1/2,y+1/2,z'
'x+1/2,-y+1/2,z'
loop_
_atom_site_label
_atom_site_type_symbol
_atom_site_fract_x
_atom_site_fract_y
_atom_site_fract_z
_atom_site_occupancy
In1 In 0.000 0.000 0.000 1
In2 In 0.221 0.000 0.629 1
Ni1 Ni 0.251 0.500 0.143 1
Ru1 Ru 0.471 0.000 0.483 1

# GGA-PBE NbNiMo, relaxed
# **ΔE to the lowest computed polymorph**: 0 meV/atom
# **Total magnetization**: 0.00 μB per cell
# **Formation energy from the elements**: -82 meV per atom
data_NbNiMo
_cell_length_a 2.696
_cell_length_b 4.381
_cell_length_c 7.608
_cell_angle_alpha 90.00
_cell_angle_beta 94.59
_cell_angle_gamma 90.00
_space_group_name_H-M_alt 'P 1 m 1'
_space_group_IT_number 6
loop_
_space_group_symop_operation_xyz
'x,y,z'
'x,-y,z'
loop_
_atom_site_label
_atom_site_type_symbol
_atom_site_fract_x
_atom_site_fract_y
_atom_site_fract_z
_atom_site_occupancy
Nb1 Nb 0.000 0.000 0.000 1
Nb2 Nb 0.331 0.000 0.625 1
Ni1 Ni 0.759 0.000 0.320 1
Ni2 Ni 0.878 0.500 0.501 1
Mo1 Mo 0.329 0.500 0.204 1
Mo2 Mo 0.653 0.500 0.831 1

# GGA-PBE Ce3Y2Rh2, relaxed
# **Total magnetization**: 0.00 μB per cell
# **Formation energy from the elements**: -465 meV per atom
data_Ce3Y2Rh2
_cell_length_a 11.339
_cell_length_b 4.071
_cell_length_c 8.630
_cell_angle_alpha 90.00
_cell_angle_beta 115.82
_cell_angle_gamma 90.00
_space_group_name_H-M_alt 'C 1 2/m 1'
_space_group_IT_number 12
loop_
_space_group_symop_operation_xyz
'x,y,z'
'-x,-y,-z'
'-x,y,-z'
'x,-y,z'
'x+1/2,y+1/2,z'
'-x+1/2,-y+1/2,-z'
'-x+1/2,y+1/2,-z'
'x+1/2,-y+1/2,z'
loop_
_atom_site_label
_atom_site_type_symbol
_atom_site_fract_x
_atom_site_fract_y
_atom_site_fract_z
_atom_site_occupancy
Ce1 Ce 0.000 0.000 0.000 1
Ce2 Ce 0.159 0.000 0.461 1
Y1 Y 0.149 0.500 0.801 1
Rh1 Rh 0.155 0.500 0.177 1

# GGA-PBE Sc4CdGaAu2, relaxed
# **Total magnetization**: 0.00 μB per cell
# **Formation energy from the elements**: -619 meV per atom
data_Sc4CdGaAu2
_cell_length_a 4.8483
_cell_length_b 4.8483
_cell_length_c 23.7951
_cell_angle_alpha 90.00
_cell_angle_beta 90.00
_cell_angle_gamma 120.00
_space_group_name_H-M_alt 'R -3 m'
_space_group_IT_number 166
_space_group_name_Hall '-R 3 2"'
loop_
_atom_site_label
_atom_site_type_symbol
_atom_site_fract_x
_atom_site_fract_y
_atom_site_fract_z
_atom_site_occupancy
Sc1 Sc 0.0000 0.0000 0.1210 1
Sc2 Sc 0.0000 0.0000 0.3712 1
Cd1 Cd 0.0000 0.0000 0.5000 1
Ga1 Ga 0.0000 0.0000 0.0000 1
Au1 Au 0.0000 0.0000 0.2441 1